Here is a relaxed MnIrSe2 crystal from Alexandria. Energies are from PBE.

The calculation puts the density of states at the Fermi level at 4.61 states/eV per cell. The total magnetization is 9.81 μB/cell. The offset from the most stable computed form is 377 meV/atom. The calculation puts the volume at 154.92 Å³ per cell. As for the crystal system: orthorhombic. As for the total energy: -6.11 eV per atom.

It has space group Cmmm (No. 65), with a = 5.5346 Å, b = 7.4057 Å, c = 3.7797 Å, α = 90.00°, β = 90.00° and γ = 90.00°. The distinct sites, in fractional coordinates, are Mn at (0.0000, 0.0000, 0.0000), Ir at (0.0000, 0.5000, 0.0000) and Se at (0.0000, 0.2839, 0.5000).